This record from the Alexandria database describes crystalline MnBiTe2O6 at its relaxed geometry. The functional is PBE with a Hubbard U.

Values from the calculation:
N(E_F)   6.41 states/eV per cell
Total DFT energy (no corrections)   -5.8078 eV/atom

Cell: 13.5924 8.4361 5.7871 Å, 90.00 104.14 90.00°
Closest atoms and distances in Å follow each position.
Space group C2/c (No. 15)
Asymmetric unit:
Mn: 0.0000 0.0917 0.2500 [4 per cell]  6 O 2.21-2.26
Bi: 0.0000 0.3060 0.7500 [4 per cell]  4 O 2.15-2.33
Te: 0.2372 0.3392 0.2317 [8 per cell]  2 O 1.93-1.96
O: 0.0820 0.1153 0.6382 [8 per cell]  1 Bi 2.15, 2 Mn 2.25-2.26
O: 0.0936 0.2787 0.1433 [8 per cell]  1 Te 1.96
O: 0.2151 0.4613 0.5628 [8 per cell]  1 Te 1.93